Entry from Alexandria via LeMat-Bulk: a relaxed structure of PmAl3Zn3 (PBE-GGA).

Cell: 6.6596 6.6596 21.2049 Å, 90.00 90.00 120.00°
Space group R-3 (No. 148, hexagonal axes)
Inequivalent atoms, fractional coordinates:
Pm1 0.0000 0.0000 0.1677
Al1 0.0476 0.4608 0.3737
Zn1 0.0263 0.2319 0.5726

Calculated values
formation energy from the elements	-0.71	eV per formula unit
uncorrected energy	-2.931	eV per atom



Entry from Alexandria via LeMat-Bulk: a relaxed structure of RbMg2Zr2 (PBE-GGA).

Cell: 9.742 9.742 3.041 Å, 90.00 90.00 90.00°
Space group P4/mbm (No. 127)
Inequivalent atoms, fractional coordinates:
Rb1 0.000 0.000 0.000
Mg1 0.174 0.326 0.000
Zr1 0.110 0.610 0.500

Calculated values
formation energy from the elements	2.39	eV per formula unit
uncorrected energy	-3.772	eV per atom



Entry from Alexandria via LeMat-Bulk: a relaxed structure of BaEuCdAu (PBE-GGA).

Cell: 7.996 7.996 7.996 Å, 90.00 90.00 90.00°
Space group F-43m (No. 216)
Inequivalent atoms, fractional coordinates:
Ba1 0.000 0.000 0.000
Eu1 0.000 0.000 0.500
Cd1 0.250 0.250 0.750
Au1 0.250 0.250 0.250

Calculated values
formation energy from the elements	-1.88	eV per formula unit
uncorrected energy	-4.566	eV per atom



Entry from Alexandria via LeMat-Bulk: a relaxed structure of TcRhBr2 (PBE-GGA).

Cell: 3.109 3.474 17.121 Å, 90.00 90.00 90.00°
Space group Imm2 (No. 44)
Inequivalent atoms, fractional coordinates:
Tc1 0.000 0.000 0.000
Rh1 0.000 0.500 0.093
Br1 0.000 0.000 0.411
Br2 0.000 0.500 0.694

Calculated values
formation energy from raw total energies	0.4828	eV per atom
uncorrected energy	-4.783	eV per atom



Entry from Alexandria via LeMat-Bulk: a relaxed structure of TbNdY2Ho6 (PBE-GGA).

Cell: 9.206 14.994 9.402 Å, 90.00 95.53 90.00°
Space group C2/c (No. 15)
Inequivalent atoms, fractional coordinates:
Tb1 0.000 0.090 0.250
Nd1 0.000 0.467 0.750
Y1 0.248 0.051 0.950
Ho1 0.062 0.318 0.441
Ho2 0.095 0.114 0.615
Ho3 0.212 0.273 0.818

Calculated values
formation energy from the elements	1.26	eV per formula unit
uncorrected energy	-4.853	eV per atom



Entry from Alexandria via LeMat-Bulk: a relaxed structure of KNpTl2O8 (PBE-GGA).

Cell: 4.860 5.610 7.775 Å, 90.04 106.23 91.00°
Space group P-1 (No. 2)
Inequivalent atoms, fractional coordinates:
K1 0.000 0.000 0.000
Np1 0.500 0.000 0.500
Tl1 0.141 0.516 0.711
O1 0.146 0.522 0.994
O2 0.197 0.837 0.333
O3 0.235 0.328 0.495
O4 0.406 0.860 0.714

Calculated values
formation energy from raw total energies	-1.3287	eV per atom
uncorrected energy	-6.198	eV per atom



Entry from Alexandria via LeMat-Bulk: a relaxed structure of Pa2TlRh3 (PBE-GGA).

Cell: 12.995 12.995 12.995 Å, 90.00 90.00 90.00°
Space group Fd-3m (No. 227, origin choice 2)
Inequivalent atoms, fractional coordinates:
Pa1 0.023 0.023 0.227
Tl1 0.000 0.000 0.500
Rh1 0.119 0.375 0.375

Calculated values
formation energy from the elements	-1.76	eV per formula unit
uncorrected energy	-7.529	eV per atom



Entry from Alexandria via LeMat-Bulk: a relaxed structure of CoCuAgCl2 (PBE-GGA).

Cell: 4.699 4.699 4.766 Å, 90.00 90.00 90.00°
Space group P4/mmm (No. 123)
Inequivalent atoms, fractional coordinates:
Co1 0.000 0.000 0.000
Cu1 0.000 0.000 0.500
Ag1 0.500 0.500 0.000
Cl1 0.000 0.500 0.500

Calculated values
formation energy from raw total energies	0.5808	eV per atom
uncorrected energy	-2.969	eV per atom



Entry from Alexandria via LeMat-Bulk: a relaxed structure of Ba3ZnSi3 (PBE-GGA).

Cell: 4.249 5.015 19.744 Å, 90.00 90.00 90.00°
Space group Imm2 (No. 44)
Inequivalent atoms, fractional coordinates:
Ba1 0.000 0.000 0.000
Ba2 0.000 0.000 0.365
Ba3 0.000 0.500 0.688
Zn1 0.000 0.500 0.120
Si1 0.000 0.000 0.555
Si2 0.000 0.000 0.816
Si3 0.000 0.500 0.247

Calculated values
formation energy from raw total energies	-0.3885	eV per atom
uncorrected energy	-3.719	eV per atom



Entry from Alexandria via LeMat-Bulk: a relaxed structure of YIn3Se4 (PBE-GGA).

Cell: 4.1200 4.1200 45.6864 Å, 90.00 90.00 120.00°
Space group R-3m (No. 166, hexagonal axes)
Inequivalent atoms, fractional coordinates:
Y1 0.0000 0.0000 0.0000
In1 0.0000 0.0000 0.2485
In2 0.0000 0.0000 0.5000
Se1 0.0000 0.0000 0.1328
Se2 0.0000 0.0000 0.3691

Calculated values
formation energy from raw total energies	-0.8686	eV per atom
uncorrected energy	-4.446	eV per atom



Entry from Alexandria via LeMat-Bulk: a relaxed structure of CeHfRh2 (PBE-GGA).

Cell: 4.4445 4.4445 14.2407 Å, 90.00 90.00 120.00°
Space group R-3m (No. 166, hexagonal axes)
Inequivalent atoms, fractional coordinates:
Ce1 0.0000 0.0000 0.0000
Hf1 0.0000 0.0000 0.5000
Rh1 0.0000 0.0000 0.2251

Calculated values
formation energy from the elements	-2.80	eV per formula unit
uncorrected energy	-8.348	eV per atom



Entry from Alexandria via LeMat-Bulk: a relaxed structure of LaEr2Co9 (PBE-GGA).

Cell: 5.0182 5.0182 24.2718 Å, 90.00 90.00 120.00°
Space group R-3m (No. 166, hexagonal axes)
Inequivalent atoms, fractional coordinates:
La1 0.0000 0.0000 0.0000
Er1 0.0000 0.0000 0.1404
Co1 0.0000 0.0000 0.3354
Co2 0.0000 0.0000 0.5000
Co3 0.0047 0.5024 0.9168

Calculated values
formation energy from the elements	-1.82	eV per formula unit
uncorrected energy	-6.652	eV per atom